1.
Here is ScInSi after structural relaxation from Alexandria. Energies are from PBE-GGA.

Summary:
- space-group type = I4mm (107)
- offset from the most stable computed form (eV per formula unit) = 0.51
- electronic total energy (eV for the cell shown) = -14.88
- spin magnetization (μB/f.u.) = 0.00
- DOS(E_F) (states/eV per cell) = 2.77
- formation energy (no corrections) (kJ per mole of atoms) = -12.44

a = 6.0368 Å, b = 6.0368 Å, c = 6.0368 Å
α = 148.02°, β = 148.02°, γ = 45.86°
Fractional coordinates of all 3 atoms:
Sc1 0.0000 0.0000 0.0000
In1 0.3017 0.3017 0.0000
Si1 0.6398 0.6398 0.0000

***

2.
Here is ScIn2Si after structural relaxation from Alexandria. Energies are from PBE-GGA.

Summary:
- space-group type = I4/mmm (139)
- offset from the most stable computed form (eV per formula unit) = 0.00
- electronic total energy (eV for the cell shown) = -18.04
- spin magnetization (μB/f.u.) = 0.00
- DOS(E_F) (states/eV per cell) = 1.50
- formation energy (no corrections) (kJ per mole of atoms) = -19.62

a = 5.7265 Å, b = 5.7265 Å, c = 5.7265 Å
α = 138.05°, β = 138.05°, γ = 60.83°
Fractional coordinates of all 4 atoms:
Sc1 0.0000 0.0000 0.0000
In1 0.2500 0.7500 0.5000
In2 0.7500 0.2500 0.5000
Si1 0.5000 0.5000 0.0000

***

3.
Here is ScIn2Si after structural relaxation from Alexandria. Energies are from PBE-GGA.

Summary:
- space-group type = F-43m (216)
- offset from the most stable computed form (eV per formula unit) = 1.15
- electronic total energy (eV for the cell shown) = -16.90
- spin magnetization (μB/f.u.) = 0.00
- DOS(E_F) (states/eV per cell) = 2.61
- formation energy (no corrections) (kJ per mole of atoms) = 8.06

a = 5.0028 Å, b = 5.0028 Å, c = 5.0028 Å
α = 60.00°, β = 60.00°, γ = 60.00°
Fractional coordinates of all 4 atoms:
Sc1 0.0000 0.0000 0.0000
In1 0.2500 0.2500 0.2500
In2 0.5000 0.5000 0.5000
Si1 0.7500 0.7500 0.7500

***

4.
Here is ScInSi after structural relaxation from Alexandria. Energies are from PBE-GGA.

Summary:
- space-group type = P3m1 (156)
- offset from the most stable computed form (eV per formula unit) = 0.28
- electronic total energy (eV for the cell shown) = -15.11
- spin magnetization (μB/f.u.) = 0.00
- DOS(E_F) (states/eV per cell) = 0.62
- formation energy (no corrections) (kJ per mole of atoms) = -19.78

a = 4.1409 Å, b = 4.1409 Å, c = 4.4125 Å
α = 90.00°, β = 90.00°, γ = 120.00°
Fractional coordinates of all 3 atoms:
Sc1 0.0000 0.0000 0.0000
In1 0.3333 0.6667 0.5641
Si1 0.6667 0.3333 0.2961

***

5.
Here is ScInSi2 after structural relaxation from Alexandria. Energies are from PBE-GGA.

Summary:
- space-group type = F-43m (216)
- offset from the most stable computed form (eV per formula unit) = 1.57
- electronic total energy (eV for the cell shown) = -19.01
- spin magnetization (μB/f.u.) = 0.00
- DOS(E_F) (states/eV per cell) = 3.14
- formation energy (no corrections) (kJ per mole of atoms) = 21.83

a = 4.8045 Å, b = 4.8045 Å, c = 4.8045 Å
α = 60.00°, β = 60.00°, γ = 60.00°
Fractional coordinates of all 4 atoms:
Sc1 0.0000 0.0000 0.0000
In1 0.7500 0.7500 0.7500
Si1 0.2500 0.2500 0.2500
Si2 0.5000 0.5000 0.5000

***

6.
Here is ScIn2Si after structural relaxation from Alexandria. Energies are from PBE-GGA.

Summary:
- space-group type = P4/mmm (123)
- offset from the most stable computed form (eV per formula unit) = 1.19
- electronic total energy (eV for the cell shown) = -16.85
- spin magnetization (μB/f.u.) = 0.41
- DOS(E_F) (states/eV per cell) = 1.96
- formation energy (no corrections) (kJ per mole of atoms) = 9.17

a = 3.2290 Å, b = 3.2290 Å, c = 8.4298 Å
α = 90.00°, β = 90.00°, γ = 90.00°
Fractional coordinates of all 4 atoms:
Sc1 0.0000 0.0000 0.0000
In1 0.5000 0.5000 0.2571
In2 0.5000 0.5000 0.7429
Si1 0.0000 0.0000 0.5000

***

7.
Here is ScInSi4 after structural relaxation from Alexandria. Energies are from PBE-GGA.

Summary:
- space-group type = F-43m (216)
- electronic total energy (eV for the cell shown) = -30.47
- spin magnetization (μB/f.u.) = 0.00
- DOS(E_F) (states/eV per cell) = 3.90
- formation energy (no corrections) (kJ per mole of atoms) = 4.63

a = 5.2208 Å, b = 5.2208 Å, c = 5.2208 Å
α = 60.00°, β = 60.00°, γ = 60.00°
Fractional coordinates of all 6 atoms:
Sc1 0.0000 0.0000 0.0000
In1 0.2500 0.2500 0.2500
Si1 0.1256 0.6248 0.6248
Si2 0.6248 0.1256 0.6248
Si3 0.6248 0.6248 0.1256
Si4 0.6248 0.6248 0.6248

***

8.
Here is Sc2InSi after structural relaxation from Alexandria. Energies are from PBE-GGA.

Summary:
- space-group type = R-3m (166)
- electronic total energy (eV for the cell shown) = -21.16
- spin magnetization (μB/f.u.) = 0.00
- DOS(E_F) (states/eV per cell) = 3.54
- formation energy (no corrections) (kJ per mole of atoms) = -8.04

a = 9.9310 Å, b = 9.9310 Å, c = 9.9310 Å
α = 19.62°, β = 19.62°, γ = 19.62°
Fractional coordinates of all 4 atoms:
Sc1 0.1035 0.1035 0.1035
Sc2 0.8965 0.8965 0.8965
In1 0.0000 0.0000 0.0000
Si1 0.5000 0.5000 0.5000